VASP calculation (GGA-PBE) on a relaxed structure of ZrAs3Ru.

Summary:
The value obtained for the density of states at the Fermi level is 1.747 states/eV/atom. The value obtained for the distance to the lowest polymorph of the same formula is 0.0 meV/atom. Its volume is 108 Å³/cell. As for the formation energy: 0.42 eV per atom. For the uncorrected energy, the calculation gives -0.4361 Ry/atom.

Cell: 4.765 4.765 4.765 Å, 90.00 90.00 90.00°
Space group Pm-3m (No. 221)
Symmetry-distinct sites (fractional):
Zr1 0.000 0.000 0.000 [1 per cell]
As1 0.000 0.500 0.500 [3 per cell]
Ru1 0.500 0.500 0.500 [1 per cell]


VASP calculation (GGA-PBE) on a relaxed structure of V6GaW2.

Summary:
The value obtained for the density of states at the Fermi level is 1.095 states/eV/atom. Its volume is 277 Å³/cell. As for the formation energy: 0.41 eV per atom. For the uncorrected energy, the calculation gives -0.6528 Ry/atom.

Cell: 4.457 5.082 12.219 Å, 90.00 90.00 90.00°
Space group Immm (No. 71)
Symmetry-distinct sites (fractional):
V1 0.000 0.242 0.000 [4 per cell]
V2 0.000 0.245 0.192 [8 per cell]
Ga1 0.000 0.000 0.500 [2 per cell]
W1 0.000 0.500 0.391 [4 per cell]


VASP calculation (GGA-PBE) on a relaxed structure of ReMo2PbBr.

Summary:
The value obtained for the density of states at the Fermi level is 1.638 states/eV/atom. The energy relative to the elements, uncorrected is 2.98 eV/atom. Its volume is 167 Å³/cell. For the uncorrected energy, the calculation gives -0.3615 Ry/atom.

Cell: 5.415 5.415 5.684 Å, 90.00 90.00 90.00°
Space group P4/mmm (No. 123)
Symmetry-distinct sites (fractional):
Re1 0.000 0.000 0.000 [1 per cell]
Mo1 0.000 0.500 0.500 [2 per cell]
Pb1 0.500 0.500 0.500 [1 per cell]
Br1 0.500 0.500 0.000 [1 per cell]


VASP calculation (GGA-PBE) on a relaxed structure of Na2Tl4CdIn2.

Summary:
The value obtained for the density of states at the Fermi level is 0.317 states/eV/atom. Its volume is 258 Å³/cell. As for the formation energy: -0.01 eV per atom. For the uncorrected energy, the calculation gives -0.1519 Ry/atom.

Cell: 3.5978 3.5978 22.9954 Å, 90.00 90.00 120.00°
Space group P3m1 (No. 156)
Symmetry-distinct sites (fractional):
Na1 0.0000 0.0000 0.0000 [1 per cell]
Na2 0.3333 0.6667 0.3330 [1 per cell]
Tl1 0.0000 0.0000 0.2225 [1 per cell]
Tl2 0.0000 0.0000 0.4447 [1 per cell]
Tl3 0.3333 0.6667 0.1095 [1 per cell]
Tl4 0.3333 0.6667 0.8868 [1 per cell]
Cd1 0.3333 0.6667 0.6747 [1 per cell]
In1 0.0000 0.0000 0.5744 [1 per cell]
In2 0.0000 0.0000 0.7757 [1 per cell]


VASP calculation (GGA-PBE) on a relaxed structure of Ac8AlSi3I4.

Summary:
The value obtained for the density of states at the Fermi level is 0.461 states/eV/atom. The energy relative to the elements, uncorrected is -0.83 eV/atom. Its volume is 1818 Å³/cell. For the uncorrected energy, the calculation gives -0.3324 Ry/atom.

Cell: 9.2997 9.2997 24.2740 Å, 90.00 90.00 120.00°
Space group R-3m (No. 166, hexagonal axes)
Symmetry-distinct sites (fractional):
Ac1 0.0000 0.0000 0.2330 [6 per cell]
Ac2 0.0048 0.5024 0.7654 [18 per cell]
Al1 0.0000 0.0000 0.5000 [3 per cell]
Si1 0.0000 0.5000 0.5000 [9 per cell]
I1 0.0000 0.0000 0.0000 [3 per cell]
I2 0.0000 0.5000 0.0000 [9 per cell]


VASP calculation (GGA-PBE) on a relaxed structure of AcCuNi2.

Summary:
The value obtained for the density of states at the Fermi level is 0.510 states/eV/atom. The value obtained for the distance to the lowest polymorph of the same formula is 72.4 meV/atom. Its volume is 298 Å³/cell. As for the formation energy: -0.16 eV per atom. For the uncorrected energy, the calculation gives -0.3750 Ry/atom.

Cell: 4.175 17.040 4.184 Å, 90.00 90.00 90.00°
Space group Cmcm (No. 63)
Symmetry-distinct sites (fractional):
Ac1 0.000 0.108 0.250 [4 per cell]
Cu1 0.000 0.325 0.250 [4 per cell]
Ni1 0.000 0.250 0.750 [4 per cell]
Ni2 0.000 0.468 0.250 [4 per cell]


VASP calculation (GGA-PBE) on a relaxed structure of Ca2TaInC.

Summary:
The value obtained for the density of states at the Fermi level is 1.498 states/eV/atom. Its volume is 170 Å³/cell. As for the formation energy: 2.12 eV per atom. For the uncorrected energy, the calculation gives -0.2534 Ry/atom.

Cell: 5.721 5.721 5.206 Å, 90.00 90.00 90.00°
Space group P4/mmm (No. 123)
Symmetry-distinct sites (fractional):
Ca1 0.000 0.500 0.000 [2 per cell]
Ta1 0.000 0.000 0.500 [1 per cell]
In1 0.000 0.000 0.000 [1 per cell]
C1 0.500 0.500 0.500 [1 per cell]


VASP calculation (GGA-PBE) on a relaxed structure of Nd2Si6Rh9.

Summary:
The value obtained for the density of states at the Fermi level is 0.124 states/eV/atom. The energy relative to the elements, uncorrected is -0.84 eV/atom. Its volume is 296 Å³/cell. For the uncorrected energy, the calculation gives -0.5300 Ry/atom.

Cell: 5.6792 5.6792 10.5797 Å, 90.00 90.00 120.00°
Space group P6/mmm (No. 191)
Symmetry-distinct sites (fractional):
Nd1 0.0000 0.0000 0.1947 [2 per cell]
Si1 0.3333 0.6667 0.1665 [4 per cell]
Si2 0.3333 0.6667 0.5000 [2 per cell]
Rh1 0.0000 0.5000 0.0000 [3 per cell]
Rh2 0.0000 0.5000 0.3341 [6 per cell]